(1)
An optimized crystal structure of FeCuTc. Source: Alexandria, functional PBE-GGA.

Output
DOS(E_F) = 4.9 states/eV per cell
ΔH_f (0 K) = 0.200 eV per atom

abc: 2.5906 3.7500 7.7094
angles: 90.00 90.00 90.00
Atoms (fractional coordinates):
Fe 0.0000 0.0000 0.0000
Fe 0.5000 0.5000 0.5000
Cu 0.0000 0.0000 0.3335
Cu 0.5000 0.5000 0.8335
Tc 0.0000 0.0000 0.6637
Tc 0.5000 0.5000 0.1637

(2)
An optimized crystal structure of HfSeN2F. Source: Alexandria, functional PBE-GGA.

Output
DOS(E_F) = 2.3 states/eV per cell
uncorrected formation energy = 1090 meV/atom

abc: 4.0652 4.0652 3.8278
angles: 90.00 90.00 90.00
Atoms (fractional coordinates):
Hf 0.0000 0.0000 0.0000
Se 0.5000 0.5000 0.0000
N 0.0000 0.5000 0.5000
N 0.5000 0.0000 0.5000
F 0.5000 0.5000 0.5000

(3)
An optimized crystal structure of Ac2CdBiO6. Source: Alexandria, functional PBE-GGA.

Output
DOS(E_F) = 3.0 states/eV per cell
uncorrected formation energy = -2178 meV/atom

abc: 6.2655 6.2655 6.2655
angles: 59.03 59.03 59.03
Atoms (fractional coordinates):
Ac 0.0000 0.0000 0.0000
Ac 0.4996 0.4996 0.4996
Cd 0.2289 0.2289 0.2289
Bi 0.7239 0.7239 0.7239
O 0.0735 0.4384 0.8604
O 0.3665 0.9245 0.5863
O 0.4384 0.8604 0.0735
O 0.5863 0.3665 0.9245
O 0.8604 0.0735 0.4384
O 0.9245 0.5863 0.3665

(4)
An optimized crystal structure of LiZn2Sb. Source: Alexandria, functional PBE-GGA.

Output
DOS(E_F) = 1.9 states/eV per cell
uncorrected formation energy = -89 meV/atom

abc: 8.5505 3.2249 5.5785
angles: 90.00 99.08 90.00
Atoms (fractional coordinates):
Li 0.0000 0.0000 0.0000
Li 0.5000 0.5000 0.0000
Zn 0.2486 0.5000 0.2270
Zn 0.4916 0.0000 0.4241
Zn 0.7486 0.0000 0.2270
Zn 0.9916 0.5000 0.4241
Sb 0.2486 0.0000 0.7339
Sb 0.7486 0.5000 0.7339

(5)
An optimized crystal structure of CaSi2NiPd. Source: Alexandria, functional PBE-GGA.

Output
DOS(E_F) = 5.7 states/eV per cell
uncorrected formation energy = -692 meV/atom

abc: 4.1120 4.1120 9.8509
angles: 90.00 90.00 90.00
Atoms (fractional coordinates):
Ca 0.0000 0.0000 0.0000
Ca 0.5000 0.5000 0.5000
Si 0.0000 0.0000 0.3757
Si 0.0000 0.0000 0.6243
Si 0.5000 0.5000 0.1243
Si 0.5000 0.5000 0.8757
Ni 0.0000 0.5000 0.7500
Ni 0.5000 0.0000 0.2500
Pd 0.0000 0.5000 0.2500
Pd 0.5000 0.0000 0.7500

(6)
An optimized crystal structure of CrAg2Ru. Source: Alexandria, functional PBE-GGA.

Output
DOS(E_F) = 8.0 states/eV per cell
ΔH_f (0 K) = 0.707 eV per atom

abc: 2.7987 4.5585 9.7227
angles: 90.00 90.00 90.00
Atoms (fractional coordinates):
Cr 0.0000 0.0000 0.0000
Cr 0.5000 0.5000 0.0000
Ag 0.0000 0.5000 0.2444
Ag 0.0000 0.5000 0.7556
Ag 0.5000 0.0000 0.2444
Ag 0.5000 0.0000 0.7556
Ru 0.0000 0.0000 0.5000
Ru 0.5000 0.5000 0.5000

(7)
An optimized crystal structure of LaPaSnO6. Source: Alexandria, functional PBE-GGA.

Output
DOS(E_F) = 0.0 states/eV per cell
uncorrected formation energy = -2826 meV/atom

abc: 5.7225 5.7225 9.5180
angles: 90.00 90.00 120.00
Atoms (fractional coordinates):
La 0.3333 0.6667 0.2500
La 0.6667 0.3333 0.7500
Pa 0.0000 0.0000 0.0000
Pa 0.0000 0.0000 0.5000
Sn 0.3333 0.6667 0.7500
Sn 0.6667 0.3333 0.2500
O 0.0439 0.3430 0.6270
O 0.0439 0.7009 0.8730
O 0.2991 0.3430 0.8730
O 0.2991 0.9561 0.6270
O 0.3430 0.0439 0.1270
O 0.3430 0.2991 0.3730
O 0.6570 0.7009 0.6270
O 0.6570 0.9561 0.8730
O 0.7009 0.0439 0.3730
O 0.7009 0.6570 0.1270
O 0.9561 0.2991 0.1270
O 0.9561 0.6570 0.3730

(8)
An optimized crystal structure of Rb4AlBr7. Source: Alexandria, functional PBE-GGA.

Output
DOS(E_F) = 0.0 states/eV per cell
uncorrected formation energy = -1516 meV/atom

abc: 8.3545 8.3545 10.4368
angles: 110.71 110.71 49.69
Atoms (fractional coordinates):
Rb 0.1029 0.1029 0.2874
Rb 0.3642 0.3466 0.0172
Rb 0.6534 0.6358 0.9828
Rb 0.8971 0.8971 0.7126
Al 0.5093 0.4907 0.5000
Br 0.1372 0.1165 0.9802
Br 0.1758 0.8242 0.5000
Br 0.4336 0.4222 0.7005
Br 0.5376 0.1884 0.3539
Br 0.5778 0.5664 0.2995
Br 0.8116 0.4624 0.6461
Br 0.8835 0.8628 0.0198